This record from the Alexandria database describes a relaxed structure of CaRu3S. The functional is PBE-GGA.

a b c (Å): 4.8048 4.8048 4.8048
angles (deg): 90.00 90.00 90.00
Site moments in Bohr magnetons follow the coordinates.
Sites, in units of the cell vectors:
Ru (0.0000, 0.5000, 0.0000)  2.08
Ru (0.0000, 0.0000, 0.5000)  1.67
Ru (0.5000, 0.0000, 0.0000)  2.17
Ca (0.0000, 0.0000, 0.0000)  -0.08
S (0.5000, 0.5000, 0.5000)  0.18

As for the space group: Pm-3m, No. 221. As for the calculated total energy: -4.34 eV per atom. Its volume is 22.19 Å³/atom.